Computed, not measured: crystalline BW2N5 at its relaxed geometry at the PBE-GGA level of DFT.

a = 9.9875 Å, b = 9.8833 Å, c = 10.3789 Å
α = 90.00°, β = 93.23°, γ = 90.00°
Space group C2/c (No. 15)
One atom of each set of equivalent atoms:
B1 0.0000 0.1305 0.2500 x4
B2 0.1640 0.3959 0.0853 x8
W1 0.0316 0.1355 0.9484 x8
W2 0.1461 0.3537 0.4277 x8
W3 0.1816 0.3300 0.7441 x8
N1 0.0000 0.2426 0.7500 x4
N2 0.0177 0.0486 0.1200 x8
N3 0.0466 0.3148 0.0490 x8
N4 0.1271 0.2181 0.2837 x8
N5 0.1567 0.4578 0.5991 x8
N6 0.1613 0.1961 0.5722 x8
N7 0.1687 0.4751 0.8522 x8
N8 0.2057 0.1662 0.8868 x8

As for the calculated total energy: -915.70 eV for the cell shown. For the magnetic moment, the calculation gives 0.00 μB per formula unit.